Record 1
Crystalline AcHo3B4O12 at its relaxed geometry, computed with GGA-PBE.

Cell lengths 6.5730, 6.5730, 6.5730 Å; angles 102.27, 102.27, 102.27 degrees
With the nearest neighbours (Å) after each atom.
Element x y z (fractional)
Ac  0.0000  0.0000  0.0000  6 O 2.57
Ho  0.0000  0.5408  0.4592  6 O 2.23-2.30
Ho  0.4592  0.0000  0.5408  6 O 2.23-2.30
Ho  0.5408  0.4592  0.0000  6 O 2.23-2.30
B  0.0428  0.5000  0.9572  3 O 1.38-1.39
B  0.5000  0.5000  0.5000  3 O 1.39
B  0.5000  0.9572  0.0428  3 O 1.38-1.39
B  0.9572  0.0428  0.5000  3 O 1.38-1.39
O  0.0281  0.6253  0.8126  1 B 1.38
O  0.0930  0.9070  0.5000  1 B 1.39
O  0.1874  0.3747  0.9719  1 B 1.38
O  0.3643  0.6357  0.5000  1 B 1.39
O  0.3747  0.9719  0.1874  1 B 1.38
O  0.5000  0.0930  0.9070  1 B 1.39
O  0.5000  0.3643  0.6357  1 B 1.39
O  0.6253  0.8126  0.0281  1 B 1.38
O  0.6357  0.5000  0.3643  1 B 1.39
O  0.8126  0.0281  0.6253  1 B 1.38
O  0.9070  0.5000  0.0930  1 B 1.39
O  0.9719  0.1874  0.3747  1 B 1.38

Output
Uncorrected formation energy (eV/atom): -3.110
ρ (Mg/m³): 6.1
Fermi-level density of states (states/eV per cell): 0.0

=====

Record 2
Crystalline LiCoPbCl6 at its relaxed geometry, computed with GGA-PBE.

Cell lengths 6.3367, 6.3367, 6.1113 Å; angles 90.00, 90.00, 120.00 degrees
With the nearest neighbours (Å) after each atom.
Element x y z (fractional)
Li  0.0000  0.0000  0.0000  6 Cl 2.53
Co  0.3333  0.6667  0.0000  6 Cl 2.28
Pb  0.6667  0.3333  0.5000  6 Cl 2.92
Cl  0.0513  0.3634  0.2149  1 Co 2.28, 1 Li 2.53
Cl  0.0513  0.6879  0.7851  1 Co 2.28, 1 Li 2.53
Cl  0.3121  0.3634  0.7851  1 Co 2.28, 1 Li 2.53
Cl  0.3121  0.9487  0.2149  1 Co 2.28, 1 Li 2.53
Cl  0.6366  0.6879  0.2149  1 Co 2.28, 1 Li 2.53
Cl  0.6366  0.9487  0.7851  1 Co 2.28, 1 Li 2.53

Output
Uncorrected formation energy (eV/atom): -0.986
ρ (Mg/m³): 3.8

=====

Record 3
Crystalline NaIn5Hg at its relaxed geometry, computed with GGA-PBE.

Cell lengths 5.1295, 5.1295, 7.3174 Å; angles 90.00, 90.00, 90.00 degrees
With the nearest neighbours (Å) after each atom.
Element x y z (fractional)
Na  0.0000  0.0000  0.0000  12 In 3.25-3.63
In  0.0000  0.5000  0.2727  2 Hg 3.06, 3 In 3.25-3.33, 2 Na 3.25
In  0.0000  0.5000  0.7273  2 Hg 3.06, 3 In 3.25-3.33, 2 Na 3.25
In  0.5000  0.0000  0.2727  2 Hg 3.06, 3 In 3.25-3.33, 2 Na 3.25
In  0.5000  0.0000  0.7273  2 Hg 3.06, 3 In 3.25-3.33, 2 Na 3.25
In  0.5000  0.5000  0.0000  8 In 3.25, 4 Na 3.63
Hg  0.0000  0.0000  0.5000  8 In 3.06

Output
ρ (Mg/m³): 6.9
Fermi-level density of states (states/eV per cell): 4.3
E_form (eV per atom): -0.016

=====

Record 4
Crystalline LiCaSn2Te4 at its relaxed geometry, computed with GGA-PBE.

Cell lengths 7.5943, 4.3838, 7.8476 Å; angles 90.00, 108.91, 90.00 degrees
With the nearest neighbours (Å) after each atom.
Element x y z (fractional)
Li  0.0000  0.0000  0.0000  6 Te 3.11
Ca  0.5000  0.5000  0.0000  6 Te 3.14-3.15
Sn  0.0000  0.5000  0.5000  6 Te 3.13
Sn  0.5000  0.0000  0.5000  6 Te 3.16-3.18
Te  0.2451  0.5000  0.2470  2 Li 3.11, 3 Sn 3.13-3.16, 1 Ca 3.15
Te  0.2467  0.0000  0.7521  1 Li 3.11, 3 Sn 3.13-3.18, 2 Ca 3.14
Te  0.7533  0.0000  0.2479  1 Li 3.11, 3 Sn 3.13-3.18, 2 Ca 3.14
Te  0.7549  0.5000  0.7530  2 Li 3.11, 3 Sn 3.13-3.16, 1 Ca 3.15

Output
Uncorrected formation energy (eV/atom): -0.689
ρ (Mg/m³): 5.3
Fermi-level density of states (states/eV per cell): 2.9

=====

Record 5
Crystalline NbTcP2S at its relaxed geometry, computed with GGA-PBE.

Cell lengths 4.4970, 4.4970, 4.7035 Å; angles 90.00, 90.00, 90.00 degrees
With the nearest neighbours (Å) after each atom.
Element x y z (fractional)
Nb  0.0000  0.0000  0.0000  4 S 3.18, 8 P 3.25
Tc  0.5000  0.5000  0.5000  4 P 2.25, 2 S 2.35
P  0.0000  0.5000  0.5000  2 Tc 2.25
P  0.5000  0.0000  0.5000  2 Tc 2.25
S  0.5000  0.5000  0.0000  2 Tc 2.35

Output
Uncorrected formation energy (eV/atom): 0.784
ρ (Mg/m³): 5.0
Fermi-level density of states (states/eV per cell): 8.3

=====

Record 6
Crystalline Ac2BeSbPt6 at its relaxed geometry, computed with GGA-PBE.

Cell lengths 6.9879, 6.9879, 6.9879 Å; angles 129.11, 125.30, 77.96 degrees
With the nearest neighbours (Å) after each atom.
Element x y z (fractional)
Ac  0.0000  0.0000  0.0000  4 Pt 3.07-3.28, 2 Be 3.41
Ac  0.4901  0.4901  0.0000  8 Pt 3.11-3.39, 2 Sb 3.47
Be  0.8515  0.3515  0.5000  5 Pt 2.23-2.37
Sb  0.3299  0.8299  0.5000  5 Pt 2.54-2.60
Pt  0.0569  0.5569  0.5000  1 Be 2.23
Pt  0.5184  0.4769  0.5241  1 Be 2.37, 1 Sb 2.60
Pt  0.5184  0.9942  0.0415  1 Be 2.37, 1 Sb 2.60
Pt  0.5639  0.0639  0.5000  1 Sb 2.54, 4 Pt 2.74
Pt  0.9527  0.4769  0.9585  1 Be 2.37, 1 Sb 2.60
Pt  0.9527  0.9942  0.4759  1 Be 2.37, 1 Sb 2.60

Output
Uncorrected formation energy (eV/atom): -0.854
ρ (Mg/m³): 13.9
Fermi-level density of states (states/eV per cell): 4.5